Entry 1:
Material: YTaBe2
Method: DFT, GGA-PBE
State: relaxed

Output
D(E_F)   2.1 states/eV/cell
Space group   Pmm2, No. 25
ΔE to the lowest computed polymorph   392 meV per atom
DFT formation energy   0.50 eV/atom

Unit cell a=3.171 b=4.064 c=5.294 alpha=90.00 beta=90.00 gamma=90.00
Element x y z (fractional)
1 Y 0.000 0.000 0.000
2 Ta 0.500 0.500 0.612
3 Be 0.000 0.000 0.506
4 Be 0.500 0.500 0.152

Entry 2:
Material: BaNbSI2
Method: DFT, GGA-PBE
State: relaxed

Output
D(E_F)   13.6 states/eV/cell
Space group   P4/mmm, No. 123
ΔE_f (raw)   471 meV per atom

Unit cell a=6.593 b=6.593 c=5.728 alpha=90.00 beta=90.00 gamma=90.00
Element x y z (fractional)
1 Ba 0.000 0.000 0.000
2 Nb 0.500 0.500 0.500
3 S 0.000 0.000 0.500
4 I 0.000 0.500 0.000
5 I 0.500 0.000 0.000

Entry 3:
Material: AcScS3
Method: DFT, GGA-PBE
State: relaxed

Output
Space group   C2/m, No. 12
ΔE_f (raw)   -1986 meV per atom
ΔE to the lowest computed polymorph   85 meV per atom

Unit cell a=7.723 b=7.723 c=8.492 alpha=91.43 beta=91.43 gamma=29.75
Element x y z (fractional)
1 Ac 0.112 0.112 0.399
2 Ac 0.888 0.888 0.601
3 Sc 0.318 0.318 0.140
4 Sc 0.682 0.682 0.860
5 S 0.149 0.149 0.039
6 S 0.245 0.245 0.673
7 S 0.453 0.453 0.330
8 S 0.547 0.547 0.670
9 S 0.755 0.755 0.327
10 S 0.851 0.851 0.961

Number 1: energy -0.4369 Ry/atom. Number 2: energy -0.2479 Ry/atom. Number 3: energy -0.4815 Ry/atom.